[1]
Here is an optimized crystal structure of ZnHg3Sb from Alexandria. Energies are from GGA-PBEsol.

## Properties
ΔE to the lowest computed polymorph in meV/atom: 95
Formation energy from raw total energies in eV/atom: 0.4415
Density in g/cm3: 7.4
Total energy in eV for the cell shown: -5.63

CIF file:
```
data_ZnHg3Sb
_cell_length_a 5.604
_cell_length_b 5.604
_cell_length_c 5.604
_cell_angle_alpha 90.00
_cell_angle_beta 90.00
_cell_angle_gamma 90.00
_symmetry_space_group_name_H-M 'P m -3 m'
_symmetry_Int_Tables_number 221
_symmetry_space_group_name_Hall '-P 4 2 3'
loop_
_atom_site_label
_atom_site_fract_x
_atom_site_fract_y
_atom_site_fract_z
Zn1 0.000 0.000 0.000
Hg1 0.000 0.500 0.500
Sb1 0.500 0.500 0.500
```



[2]
Here is an optimized crystal structure of Zn2HgSb from Alexandria. Energies are from GGA-PBEsol.

## Properties
ΔE to the lowest computed polymorph in meV/atom: 0
Formation energy from raw total energies in eV/atom: 0.0967
Density in g/cm3: 9.1
Total energy in eV for the cell shown: -15.80

CIF file:
```
data_Zn2HgSb
_cell_length_a 7.857
_cell_length_b 3.454
_cell_length_c 6.234
_cell_angle_alpha 90.00
_cell_angle_beta 103.41
_cell_angle_gamma 90.00
_symmetry_space_group_name_H-M 'C 1 2/m 1'
_symmetry_Int_Tables_number 12
_symmetry_space_group_name_Hall '-C 2y'
loop_
_atom_site_label
_atom_site_fract_x
_atom_site_fract_y
_atom_site_fract_z
Zn1 0.248 0.000 0.236
Hg1 0.000 0.500 0.000
Sb1 0.000 0.000 0.500
```



[3]
Here is an optimized crystal structure of Zn2HgSb2 from Alexandria. Energies are from GGA-PBEsol.

## Properties
Formation energy from raw total energies in eV/atom: 0.1199
Density in g/cm3: 7.8
Total energy in eV for the cell shown: -24.49

CIF file:
```
data_Zn2HgSb2
_cell_length_a 4.833
_cell_length_b 4.833
_cell_length_c 10.535
_cell_angle_alpha 90.00
_cell_angle_beta 90.00
_cell_angle_gamma 90.00
_symmetry_space_group_name_H-M 'I 4/m m m'
_symmetry_Int_Tables_number 139
_symmetry_space_group_name_Hall '-I 4 2'
loop_
_atom_site_label
_atom_site_fract_x
_atom_site_fract_y
_atom_site_fract_z
Zn1 0.000 0.500 0.250
Hg1 0.000 0.000 0.000
Sb1 0.000 0.000 0.368
```



[4]
Here is an optimized crystal structure of Zr2HgSb2 from Alexandria. Energies are from GGA-PBEsol.

## Properties
Formation energy from raw total energies in eV/atom: -0.5548
Density in g/cm3: 9.0
Total energy in eV for the cell shown: -61.27

CIF file:
```
data_Zr2HgSb2
_cell_length_a 7.794
_cell_length_b 7.794
_cell_length_c 3.786
_cell_angle_alpha 90.00
_cell_angle_beta 90.00
_cell_angle_gamma 90.00
_symmetry_space_group_name_H-M 'P 4/m b m'
_symmetry_Int_Tables_number 127
_symmetry_space_group_name_Hall '-P 4 2ab'
loop_
_atom_site_label
_atom_site_fract_x
_atom_site_fract_y
_atom_site_fract_z
Zr1 0.144 0.356 0.000
Hg1 0.000 0.000 0.000
Sb1 0.152 0.652 0.500
```



[5]
Here is an optimized crystal structure of ZrHgSb from Alexandria. Energies are from GGA-PBEsol.

## Properties
Formation energy from raw total energies in eV/atom: -0.2417
Density in g/cm3: 10.3
Total energy in eV for the cell shown: -29.88

CIF file:
```
data_ZrHgSb
_cell_length_a 3.720
_cell_length_b 3.720
_cell_length_c 9.609
_cell_angle_alpha 90.00
_cell_angle_beta 90.00
_cell_angle_gamma 90.00
_symmetry_space_group_name_H-M 'I 4 m m'
_symmetry_Int_Tables_number 107
_symmetry_space_group_name_Hall 'I 4 -2'
loop_
_atom_site_label
_atom_site_fract_x
_atom_site_fract_y
_atom_site_fract_z
Zr1 0.000 0.000 0.000
Hg1 0.000 0.000 0.673
Sb1 0.000 0.000 0.347
```



[6]
Here is an optimized crystal structure of ScHg3 from Alexandria. Energies are from GGA-PBEsol.

## Properties
Density in g/cm3: 13.0
ΔH_f (0 K) in eV per atom: -0.306
Total energy in eV for the cell shown: -19.06

CIF file:
```
data_ScHg3
_cell_length_a 4.748
_cell_length_b 4.748
_cell_length_c 7.313
_cell_angle_alpha 90.00
_cell_angle_beta 90.00
_cell_angle_gamma 90.00
_symmetry_space_group_name_H-M 'I 4/m m m'
_symmetry_Int_Tables_number 139
_symmetry_space_group_name_Hall '-I 4 2'
loop_
_atom_site_label
_atom_site_fract_x
_atom_site_fract_y
_atom_site_fract_z
Sc1 0.000 0.000 0.000
Hg1 0.000 0.000 0.500
Hg2 0.000 0.500 0.250
```



[7]
Here is an optimized crystal structure of Sc3Hg from Alexandria. Energies are from GGA-PBEsol.

## Properties
Density in g/cm3: 6.4
ΔH_f (0 K) in eV per atom: -0.222
Total energy in eV for the cell shown: -21.27

CIF file:
```
data_Sc3Hg
_cell_length_a 3.286
_cell_length_b 4.310
_cell_length_c 6.158
_cell_angle_alpha 90.00
_cell_angle_beta 90.00
_cell_angle_gamma 90.00
_symmetry_space_group_name_H-M 'P m m m'
_symmetry_Int_Tables_number 47
_symmetry_space_group_name_Hall '-P 2 2'
loop_
_atom_site_label
_atom_site_fract_x
_atom_site_fract_y
_atom_site_fract_z
Sc1 0.000 0.000 0.000
Sc2 0.500 0.500 0.255
Hg1 0.000 0.000 0.500
```



[8]
Here is an optimized crystal structure of ScHg5 from Alexandria. Energies are from GGA-PBEsol.

## Properties
Density in g/cm3: 13.3
ΔH_f (0 K) in eV per atom: -0.173
Total energy in eV for the cell shown: -10.48

CIF file:
```
data_ScHg5
_cell_length_a 3.703
_cell_length_b 3.703
_cell_length_c 9.571
_cell_angle_alpha 90.00
_cell_angle_beta 90.00
_cell_angle_gamma 90.00
_symmetry_space_group_name_H-M 'P 4/m m m'
_symmetry_Int_Tables_number 123
_symmetry_space_group_name_Hall '-P 4 2'
loop_
_atom_site_label
_atom_site_fract_x
_atom_site_fract_y
_atom_site_fract_z
Sc1 0.000 0.000 0.000
Hg1 0.000 0.000 0.327
Hg2 0.500 0.500 0.161
Hg3 0.500 0.500 0.500
```



[9]
Here is an optimized crystal structure of ScHg4 from Alexandria. Energies are from GGA-PBEsol.

## Properties
Density in g/cm3: 13.2
ΔH_f (0 K) in eV per atom: -0.208
Total energy in eV for the cell shown: -19.83

CIF file:
```
data_ScHg4
_cell_length_a 6.852
_cell_length_b 6.852
_cell_length_c 4.532
_cell_angle_alpha 90.00
_cell_angle_beta 90.00
_cell_angle_gamma 90.00
_symmetry_space_group_name_H-M 'I 4/m'
_symmetry_Int_Tables_number 87
_symmetry_space_group_name_Hall '-I 4'
loop_
_atom_site_label
_atom_site_fract_x
_atom_site_fract_y
_atom_site_fract_z
Sc1 0.000 0.000 0.000
Hg1 0.095 0.297 0.500
```



[10]
Here is an optimized crystal structure of ScHg3 from Alexandria. Energies are from GGA-PBEsol.

## Properties
Density in g/cm3: 12.9
ΔH_f (0 K) in eV per atom: -0.319
Total energy in eV for the cell shown: -38.32

CIF file:
```
data_ScHg3
_cell_length_a 4.403
_cell_length_b 4.403
_cell_length_c 17.218
_cell_angle_alpha 90.00
_cell_angle_beta 90.00
_cell_angle_gamma 90.00
_symmetry_space_group_name_H-M 'I 4/m m m'
_symmetry_Int_Tables_number 139
_symmetry_space_group_name_Hall '-I 4 2'
loop_
_atom_site_label
_atom_site_fract_x
_atom_site_fract_y
_atom_site_fract_z
Sc1 0.000 0.000 0.125
Hg1 0.000 0.000 0.370
Hg2 0.000 0.500 0.000
Hg3 0.000 0.500 0.250
```



[11]
Here is an optimized crystal structure of Sc3Hg from Alexandria. Energies are from GGA-PBEsol.

## Properties
Density in g/cm3: 6.4
ΔH_f (0 K) in eV per atom: -0.281
Total energy in eV for the cell shown: -43.01

CIF file:
```
data_Sc3Hg
_cell_length_a 3.552
_cell_length_b 4.793
_cell_length_c 10.294
_cell_angle_alpha 90.00
_cell_angle_beta 90.00
_cell_angle_gamma 90.00
_symmetry_space_group_name_H-M 'I m m m'
_symmetry_Int_Tables_number 71
_symmetry_space_group_name_Hall '-I 2 2'
loop_
_atom_site_label
_atom_site_fract_x
_atom_site_fract_y
_atom_site_fract_z
Sc1 0.000 0.000 0.000
Sc2 0.000 0.500 0.228
Hg1 0.000 0.000 0.500
```



[12]
Here is an optimized crystal structure of Sc3Hg from Alexandria. Energies are from GGA-PBEsol.

## Properties
Density in g/cm3: 6.3
ΔH_f (0 K) in eV per atom: -0.246
Total energy in eV for the cell shown: -21.37

CIF file:
```
data_Sc3Hg
_cell_length_a 3.268
_cell_length_b 3.268
_cell_length_c 8.328
_cell_angle_alpha 90.00
_cell_angle_beta 90.00
_cell_angle_gamma 90.00
_symmetry_space_group_name_H-M 'P 4/m m m'
_symmetry_Int_Tables_number 123
_symmetry_space_group_name_Hall '-P 4 2'
loop_
_atom_site_label
_atom_site_fract_x
_atom_site_fract_y
_atom_site_fract_z
Sc1 0.000 0.000 0.000
Sc2 0.500 0.500 0.267
Hg1 0.000 0.000 0.500
```



[13]
Here is an optimized crystal structure of ScHg5 from Alexandria. Energies are from GGA-PBEsol.

## Properties
Density in g/cm3: 13.4
ΔH_f (0 K) in eV per atom: -0.194
Total energy in eV for the cell shown: -21.21

CIF file:
```
data_ScHg5
_cell_length_a 11.139
_cell_length_b 3.818
_cell_length_c 6.544
_cell_angle_alpha 90.00
_cell_angle_beta 110.54
_cell_angle_gamma 90.00
_symmetry_space_group_name_H-M 'C 1 2/m 1'
_symmetry_Int_Tables_number 12
_symmetry_space_group_name_Hall '-C 2y'
loop_
_atom_site_label
_atom_site_fract_x
_atom_site_fract_y
_atom_site_fract_z
Sc1 0.000 0.000 0.000
Hg1 0.000 0.000 0.500
Hg2 0.157 0.500 0.839
Hg3 0.172 0.500 0.326
```



[14]
Here is an optimized crystal structure of Sc3Hg5 from Alexandria. Energies are from GGA-PBEsol.

## Properties
Density in g/cm3: 11.4
ΔH_f (0 K) in eV per atom: -0.445
Total energy in eV for the cell shown: -52.42

CIF file:
```
data_Sc3Hg5
_cell_length_a 7.229
_cell_length_b 9.668
_cell_length_c 4.758
_cell_angle_alpha 90.00
_cell_angle_beta 90.00
_cell_angle_gamma 90.00
_symmetry_space_group_name_H-M 'C m m m'
_symmetry_Int_Tables_number 65
_symmetry_space_group_name_Hall '-C 2 2'
loop_
_atom_site_label
_atom_site_fract_x
_atom_site_fract_y
_atom_site_fract_z
Sc1 0.000 0.000 0.000
Sc2 0.000 0.273 0.500
Hg1 0.000 0.500 0.000
Hg2 0.226 0.000 0.500
Hg3 0.250 0.250 0.000
```



[15]
Here is an optimized crystal structure of Sc5Hg4 from Alexandria. Energies are from GGA-PBEsol.

## Properties
Density in g/cm3: 8.9
ΔH_f (0 K) in eV per atom: -0.464
Total energy in eV for the cell shown: -78.93

CIF file:
```
data_Sc5Hg4
_cell_length_a 8.5239
_cell_length_b 8.5239
_cell_length_c 6.0993
_cell_angle_alpha 90.00
_cell_angle_beta 90.00
_cell_angle_gamma 120.00
_symmetry_space_group_name_H-M 'P 63/m c m'
_symmetry_Int_Tables_number 193
_symmetry_space_group_name_Hall '-P 6c 2'
loop_
_atom_site_label
_atom_site_fract_x
_atom_site_fract_y
_atom_site_fract_z
Sc1 0.0000 0.2956 0.2500
Sc2 0.3333 0.6667 0.0000
Hg1 0.0000 0.0000 0.0000
Hg2 0.0000 0.3761 0.7500
```



[16]
Here is an optimized crystal structure of Sc3Hg from Alexandria. Energies are from GGA-PBEsol.

## Properties
Density in g/cm3: 6.5
ΔH_f (0 K) in eV per atom: -0.290
Total energy in eV for the cell shown: -43.09

CIF file:
```
data_Sc3Hg
_cell_length_a 6.2173
_cell_length_b 6.2173
_cell_length_c 5.1087
_cell_angle_alpha 90.00
_cell_angle_beta 90.00
_cell_angle_gamma 120.00
_symmetry_space_group_name_H-M 'P 63/m m c'
_symmetry_Int_Tables_number 194
_symmetry_space_group_name_Hall '-P 6c 2c'
loop_
_atom_site_label
_atom_site_fract_x
_atom_site_fract_y
_atom_site_fract_z
Sc1 0.1703 0.3406 0.2500
Hg1 0.3333 0.6667 0.7500
```



[17]
Here is an optimized crystal structure of Sc3Hg from Alexandria. Energies are from GGA-PBEsol.

## Properties
Density in g/cm3: 6.5
ΔH_f (0 K) in eV per atom: -0.284
Total energy in eV for the cell shown: -21.52

CIF file:
```
data_Sc3Hg
_cell_length_a 4.399
_cell_length_b 4.399
_cell_length_c 4.399
_cell_angle_alpha 90.00
_cell_angle_beta 90.00
_cell_angle_gamma 90.00
_symmetry_space_group_name_H-M 'P m -3 m'
_symmetry_Int_Tables_number 221
_symmetry_space_group_name_Hall '-P 4 2 3'
loop_
_atom_site_label
_atom_site_fract_x
_atom_site_fract_y
_atom_site_fract_z
Sc1 0.000 0.000 0.500
Hg1 0.500 0.500 0.500
```



[18]
Here is an optimized crystal structure of ScHg3 from Alexandria. Energies are from GGA-PBEsol.

## Properties
Density in g/cm3: 12.5
ΔH_f (0 K) in eV per atom: -0.273
Total energy in eV for the cell shown: -18.80

CIF file:
```
data_ScHg3
_cell_length_a 9.612
_cell_length_b 3.525
_cell_length_c 5.265
_cell_angle_alpha 90.00
_cell_angle_beta 105.49
_cell_angle_gamma 90.00
_symmetry_space_group_name_H-M 'C 1 2/m 1'
_symmetry_Int_Tables_number 12
_symmetry_space_group_name_Hall '-C 2y'
loop_
_atom_site_label
_atom_site_fract_x
_atom_site_fract_y
_atom_site_fract_z
Sc1 0.000 0.000 0.000
Hg1 0.000 0.500 0.500
Hg2 0.247 0.500 0.241
```



[19]
Here is an optimized crystal structure of Sc3Hg from Alexandria. Energies are from GGA-PBEsol.

## Properties
Density in g/cm3: 6.5
ΔH_f (0 K) in eV per atom: -0.143
Total energy in eV for the cell shown: -83.82

CIF file:
```
data_Sc3Hg
_cell_length_a 7.003
_cell_length_b 7.003
_cell_length_c 7.003
_cell_angle_alpha 90.00
_cell_angle_beta 90.00
_cell_angle_gamma 90.00
_symmetry_space_group_name_H-M 'F m -3 m'
_symmetry_Int_Tables_number 225
_symmetry_space_group_name_Hall '-F 4 2 3'
loop_
_atom_site_label
_atom_site_fract_x
_atom_site_fract_y
_atom_site_fract_z
Sc1 0.000 0.000 0.000
Sc2 0.250 0.250 0.250
Hg1 0.000 0.000 0.500
```



[20]
Here is an optimized crystal structure of ScHg5 from Alexandria. Energies are from GGA-PBEsol.

## Properties
Density in g/cm3: 13.6
ΔH_f (0 K) in eV per atom: -0.221
Total energy in eV for the cell shown: -21.53

CIF file:
```
data_ScHg5
_cell_length_a 4.390
_cell_length_b 12.882
_cell_length_c 4.520
_cell_angle_alpha 90.00
_cell_angle_beta 90.00
_cell_angle_gamma 90.00
_symmetry_space_group_name_H-M 'C m m m'
_symmetry_Int_Tables_number 65
_symmetry_space_group_name_Hall '-C 2 2'
loop_
_atom_site_label
_atom_site_fract_x
_atom_site_fract_y
_atom_site_fract_z
Sc1 0.000 0.000 0.000
Hg1 0.000 0.162 0.500
Hg2 0.000 0.334 0.000
Hg3 0.000 0.500 0.500
```